Ce2ScFe | PBE | relaxed

Properties
Calculated volume: 98 Å³/cell
Formation enthalpy at 0 K: 0.3135 eV/atom
Calculated density: 6.43 g/cm3

Cell lengths 9.674, 9.674, 9.674 Å; angles 20.64, 20.64, 20.64 degrees
Positions (direct):
1 Ce 0.108 0.108 0.108
2 Ce 0.892 0.892 0.892
3 Sc 0.000 0.000 0.000
4 Fe 0.500 0.500 0.500